Entry 1:
# PBE NaAg2TeCl8, relaxed
# DOS(E_F) (states/eV per atom): 0.57
# Symmetry: No. 10
# DFT total energy (eV/atom): -2.7584
# Formation energy (no corrections) (meV/atom): -680
# Magnetization (μB/cell): 0.45
data_NaAg2TeCl8
_symmetry_space_group_name_H-M 'P 1'
_symmetry_Int_Tables_number 1
_symmetry_space_group_name_Hall 'P 1'
_cell_length_a 6.3642
_cell_length_b 7.9126
_cell_length_c 6.6993
_cell_angle_alpha 90.00
_cell_angle_beta 96.94
_cell_angle_gamma 90.00
loop_
_atom_site_label
_atom_site_fract_x
_atom_site_fract_y
_atom_site_fract_z
Na1 0.0000 0.0000 0.0000
Ag1 0.5000 0.2422 0.5000
Ag2 0.5000 0.7578 0.5000
Te1 0.0000 0.5000 0.0000
Cl1 0.2133 0.2730 0.8475
Cl2 0.2133 0.7270 0.8475
Cl3 0.2681 0.0000 0.3583
Cl4 0.2847 0.5000 0.3362
Cl5 0.7153 0.5000 0.6638
Cl6 0.7319 0.0000 0.6417
Cl7 0.7867 0.2730 0.1525
Cl8 0.7867 0.7270 0.1525

Entry 2:
# PBE YHoFeNi, relaxed
# DOS(E_F) (states/eV per atom): 0.87
# Symmetry: No. 216
# DFT total energy (eV/atom): -6.3992
# ΔH_f (0 K) (eV per atom): -0.0778
# Magnetization (μB/cell): 1.89
data_YHoFeNi
_symmetry_space_group_name_H-M 'P 1'
_symmetry_Int_Tables_number 1
_symmetry_space_group_name_Hall 'P 1'
_cell_length_a 6.6988
_cell_length_b 6.6988
_cell_length_c 6.6988
_cell_angle_alpha 90.00
_cell_angle_beta 90.00
_cell_angle_gamma 90.00
loop_
_atom_site_label
_atom_site_fract_x
_atom_site_fract_y
_atom_site_fract_z
Y1 0.0000 0.0000 0.0000
Y2 0.0000 0.5000 0.5000
Y3 0.5000 0.0000 0.5000
Y4 0.5000 0.5000 0.0000
Ho1 0.0000 0.0000 0.5000
Ho2 0.0000 0.5000 0.0000
Ho3 0.5000 0.0000 0.0000
Ho4 0.5000 0.5000 0.5000
Fe1 0.2500 0.2500 0.2500
Fe2 0.2500 0.7500 0.7500
Fe3 0.7500 0.2500 0.7500
Fe4 0.7500 0.7500 0.2500
Ni1 0.2500 0.2500 0.7500
Ni2 0.2500 0.7500 0.2500
Ni3 0.7500 0.2500 0.2500
Ni4 0.7500 0.7500 0.7500

Entry 3:
# PBE Li4Si2Sn, relaxed
# DOS(E_F) (states/eV per atom): 0.28
# Symmetry: No. 12
# DFT total energy (eV/atom): -3.3182
# Formation energy (no corrections) (meV/atom): -103
# Magnetization (μB/cell): 0.00
data_Li4Si2Sn
_symmetry_space_group_name_H-M 'P 1'
_symmetry_Int_Tables_number 1
_symmetry_space_group_name_Hall 'P 1'
_cell_length_a 6.8717
_cell_length_b 3.9730
_cell_length_c 9.2179
_cell_angle_alpha 90.00
_cell_angle_beta 90.06
_cell_angle_gamma 90.00
loop_
_atom_site_label
_atom_site_fract_x
_atom_site_fract_y
_atom_site_fract_z
Li1 0.1667 0.0000 0.1512
Li2 0.1667 0.0000 0.7251
Li3 0.3333 0.5000 0.2749
Li4 0.3333 0.5000 0.8488
Li5 0.6667 0.5000 0.1512
Li6 0.6667 0.5000 0.7251
Li7 0.8333 0.0000 0.2749
Li8 0.8333 0.0000 0.8488
Si1 0.1667 0.0000 0.4467
Si2 0.3333 0.5000 0.5533
Si3 0.6667 0.5000 0.4467
Si4 0.8333 0.0000 0.5533
Sn1 0.0000 0.5000 0.0000
Sn2 0.5000 0.0000 0.0000

Entry 4:
# PBE CeY2Fe, relaxed
# DOS(E_F) (states/eV per atom): 1.38
# Symmetry: No. 62
# DFT total energy (eV/atom): -6.9543
# ΔH_f (0 K) (eV per atom): -0.1231
# Magnetization (μB/cell): 0.00
data_CeY2Fe
_symmetry_space_group_name_H-M 'P 1'
_symmetry_Int_Tables_number 1
_symmetry_space_group_name_Hall 'P 1'
_cell_length_a 6.8361
_cell_length_b 9.5482
_cell_length_c 6.3693
_cell_angle_alpha 90.00
_cell_angle_beta 90.00
_cell_angle_gamma 90.00
loop_
_atom_site_label
_atom_site_fract_x
_atom_site_fract_y
_atom_site_fract_z
Ce1 0.0740 0.2500 0.1372
Ce2 0.4260 0.7500 0.6372
Ce3 0.5740 0.2500 0.3628
Ce4 0.9260 0.7500 0.8628
Y1 0.1667 0.0652 0.6738
Y2 0.1667 0.4348 0.6738
Y3 0.3333 0.5652 0.1738
Y4 0.3333 0.9348 0.1738
Y5 0.6667 0.0652 0.8262
Y6 0.6667 0.4348 0.8262
Y7 0.8333 0.5652 0.3262
Y8 0.8333 0.9348 0.3262
Fe1 0.1440 0.7500 0.4954
Fe2 0.3560 0.2500 0.9954
Fe3 0.6440 0.7500 0.0046
Fe4 0.8560 0.2500 0.5046